# Cs3AsSe

Crystalline Cs3AsSe at its relaxed geometry (GGA-PBE, Alexandria via LeMat-Bulk).

Summary:
- energy relative to the elements, uncorrected (eV/atom) = -0.34
- size of the total moment (μB per formula unit) = 2.00
- SG = Pm-3m, No. 221

Lattice parameters (Å, degrees): 6.898 6.898 6.898 90.00 90.00 90.00
Last column: magnetic moment on the atom in μB.
Positions (direct):
Cs1 0.500 0.000 0.000  0.01
As1 0.500 0.500 0.500  0.75
Cs2 0.000 0.500 0.000  0.00
Se1 0.000 0.000 0.000  0.03
Cs3 0.000 0.000 0.500  0.00